# 1
Here is an optimized crystal structure of Dy2ZrAl3Cu2Ni from the Open Quantum Materials Database. Energies are from PBE.

a = 3.9153 Å, b = 6.9670 Å, c = 6.9670 Å
α = 120.73°, β = 90.00°, γ = 90.00°
Closest atoms and distances in Å follow each position.
Sites, in units of the cell vectors:
Dy  0.0000  0.9996  0.5877  4 Cu 2.88-2.89, 1 Ni 2.89, 6 Al 3.16-3.20
Dy  0.0000  0.5877  0.9996  4 Cu 2.88-2.89, 1 Ni 2.89, 6 Al 3.16-3.20
Ni  0.0000  0.0064  0.0064  6 Al 2.53-2.60, 1 Zr 2.76
Al  0.5000  0.2369  0.0091  2 Ni 2.53, 1 Cu 2.64, 1 Al 2.76
Al  0.5000  0.0091  0.2369  2 Ni 2.53, 1 Cu 2.64, 1 Al 2.76
Al  0.5000  0.7578  0.7578  2 Ni 2.60, 2 Cu 2.65, 2 Al 2.87
Cu  0.5000  0.3359  0.6592  3 Al 2.64-2.85, 2 Zr 2.84, 4 Dy 2.88-2.89
Cu  0.5000  0.6592  0.3359  3 Al 2.64-2.85, 2 Zr 2.84, 4 Dy 2.88-2.89
Zr  0.0000  0.4074  0.4074  1 Ni 2.76, 4 Cu 2.84, 4 Al 3.09

Computed properties:
Calculated total energy   -0.1895 hartree per atom

=====

# 2
Here is an optimized crystal structure of Dy3Al3CuPd2 from the Open Quantum Materials Database. Energies are from PBE.

a = 7.1239 Å, b = 7.1239 Å, c = 4.0196 Å
α = 90.00°, β = 90.00°, γ = 120.00°
Closest atoms and distances in Å follow each position.
Sites, in units of the cell vectors:
Dy  0.0000  0.5883  0.0000  1 Cu 2.93, 4 Pd 2.94, 6 Al 3.23-3.24
Dy  0.5883  0.0000  0.0000  1 Cu 2.93, 4 Pd 2.94, 6 Al 3.23-3.24
Dy  0.4117  0.4117  0.0000  1 Cu 2.93, 4 Pd 2.94, 6 Al 3.23-3.24
Pd  0.3333  0.6667  0.5000  3 Al 2.80, 6 Dy 2.94
Pd  0.6667  0.3333  0.5000  3 Al 2.80, 6 Dy 2.94
Al  0.7670  0.7670  0.5000  2 Cu 2.61, 2 Pd 2.80, 2 Al 2.87
Al  0.2330  0.0000  0.5000  2 Cu 2.61, 2 Pd 2.80, 2 Al 2.87
Al  0.0000  0.2330  0.5000  2 Cu 2.61, 2 Pd 2.80, 2 Al 2.87
Cu  0.0000  0.0000  0.0000  6 Al 2.61

Computed properties:
Calculated total energy   -0.1871 hartree per atom